First-principles (PBE-GGA) data for an optimized crystal structure of Hg5Pb4, as listed in Alexandria.

The calculation puts the total energy at -1.78 eV/atom. The value obtained for the energy above the most stable polymorph in this dataset is 0 meV per atom. The size of the total moment is 0.00 μB/f.u. The formation energy is 0.032 eV per atom.

Cell: 8.707 8.707 8.707 Å, 92.42 92.42 156.26°
Fractional coordinates of all 9 atoms:
Hg  0.000  0.000  0.000
Hg  0.666  0.334  0.000
Hg  0.334  0.666  0.000
Hg  0.334  0.334  0.669
Hg  0.666  0.666  0.331
Pb  0.673  0.000  0.673
Pb  0.327  0.000  0.327
Pb  0.000  0.327  0.327
Pb  0.000  0.673  0.673